# 1
# Pr2Zn4Cu3Ag

An optimized crystal structure of Pr2Zn4Cu3Ag (PBE, Alexandria).

Cell: 4.109 4.109 11.205 Å, 90.00 90.00 90.00°
Fractional coordinates of all 10 atoms:
Pr 0.500 0.000 0.240
Pr 0.000 0.500 0.760
Zn 0.500 0.500 0.000
Zn 0.000 0.000 0.000
Zn 0.500 0.000 0.643
Zn 0.000 0.500 0.357
Cu 0.000 0.000 0.500
Cu 0.500 0.000 0.865
Cu 0.000 0.500 0.135
Ag 0.500 0.500 0.500

Values from the calculation:
**VASP energy**: -3.198 eV/atom



# 2
# Cu2AgPt

An optimized crystal structure of Cu2AgPt (PBE, Alexandria).

Cell: 2.710 2.710 8.957 Å, 90.00 90.00 116.58°
Fractional coordinates of all 4 atoms:
Ag 0.500 0.500 0.750
Cu 0.000 0.000 0.005
Cu 0.000 0.000 0.495
Pt 0.500 0.500 0.250

Values from the calculation:
**Energy above the most stable polymorph in this dataset**: 0.109 eV/atom
**VASP energy**: -4.229 eV/atom



# 3
# Cu2AgPt

An optimized crystal structure of Cu2AgPt (PBE, Alexandria).

Cell: 4.800 4.800 4.800 Å, 133.11 133.11 68.49°
Fractional coordinates of all 4 atoms:
Ag 0.750 0.250 0.500
Cu 0.000 0.000 0.000
Cu 0.250 0.750 0.500
Pt 0.500 0.500 0.000

Values from the calculation:
**Energy above the most stable polymorph in this dataset**: 0.066 eV/atom
**VASP energy**: -4.272 eV/atom



# 4
# CuAg2Pt2

An optimized crystal structure of CuAg2Pt2 (PBE, Alexandria).

Cell: 6.407 6.407 4.270 Å, 90.00 90.00 90.00°
Fractional coordinates of all 10 atoms:
Cu 0.000 0.000 0.000
Cu 0.500 0.500 0.000
Ag 0.165 0.665 0.500
Ag 0.665 0.835 0.500
Ag 0.835 0.335 0.500
Ag 0.335 0.165 0.500
Pt 0.358 0.858 0.000
Pt 0.858 0.642 0.000
Pt 0.642 0.142 0.000
Pt 0.142 0.358 0.000

Values from the calculation:
**VASP energy**: -4.186 eV/atom



# 5
# Cu2AgPt

An optimized crystal structure of Cu2AgPt (PBE, Alexandria).

Cell: 2.802 2.802 7.324 Å, 90.00 90.00 90.00°
Fractional coordinates of all 4 atoms:
Ag 0.500 0.500 0.765
Cu 0.000 0.000 0.024
Cu 0.500 0.500 0.236
Pt 0.000 0.000 0.475

Values from the calculation:
**Energy above the most stable polymorph in this dataset**: 0.053 eV/atom
**VASP energy**: -4.285 eV/atom



# 6
# CuAg3Pt

An optimized crystal structure of CuAg3Pt (PBE, Alexandria).

Cell: 4.680 4.680 4.680 Å, 90.00 90.00 90.00°
Fractional coordinates of all 5 atoms:
Cu 0.000 0.000 0.000
Ag 0.000 0.500 0.000
Ag 0.000 0.000 0.500
Ag 0.500 0.000 0.000
Pt 0.500 0.500 0.500

Values from the calculation:
**Energy above the most stable polymorph in this dataset**: 0.000 eV/atom
**VASP energy**: -2.889 eV/atom



Sequential DOS at the Fermi energy output: 0.62; 0.44; 0.36; 1.46; 0.27; 0.25 states/eV per atom
Sequential formation energy output: -211; 16; 0; 92; -5; 410 kJ/mol of formula units